Record 1
Below is a geometry-optimized Cd2Sn2I structure, with properties calculated at the PBE-GGA level.

Properties
Formation energy from raw total energies in meV/atom: 40
Total energy in eV/atom: -2.237

Structure (CIF):
```
data_Cd2Sn2I
_cell_length_a 4.355
_cell_length_b 4.355
_cell_length_c 15.858
_cell_angle_alpha 90.00
_cell_angle_beta 90.00
_cell_angle_gamma 90.00
_symmetry_space_group_name_H-M 'I 4/m m m'
_symmetry_Int_Tables_number 139
_symmetry_space_group_name_Hall '-I 4 2'
loop_
_atom_site_label
_atom_site_fract_x
_atom_site_fract_y
_atom_site_fract_z
Cd1 0.000 0.000 0.097
Sn1 0.000 0.500 0.250
I1 0.000 0.000 0.500
```

Record 2
Below is a geometry-optimized CeDyAs structure, with properties calculated at the PBE-GGA level.

Properties
Total energy in eV/atom: -5.749

Structure (CIF):
```
data_CeDyAs
_cell_length_a 3.755
_cell_length_b 3.755
_cell_length_c 11.028
_cell_angle_alpha 90.00
_cell_angle_beta 90.00
_cell_angle_gamma 90.00
_symmetry_space_group_name_H-M 'I 4 m m'
_symmetry_Int_Tables_number 107
_symmetry_space_group_name_Hall 'I 4 -2'
loop_
_atom_site_label
_atom_site_fract_x
_atom_site_fract_y
_atom_site_fract_z
Ce1 0.000 0.000 0.000
Dy1 0.000 0.000 0.720
As1 0.000 0.000 0.346
```

Record 3
Below is a geometry-optimized YTm8Hg2 structure, with properties calculated at the PBE-GGA level.

Properties
Total energy in eV/atom: -3.933

Structure (CIF):
```
data_YTm8Hg2
_cell_length_a 8.798
_cell_length_b 14.612
_cell_length_c 5.432
_cell_angle_alpha 90.00
_cell_angle_beta 110.12
_cell_angle_gamma 90.00
_symmetry_space_group_name_H-M 'C 1 2/m 1'
_symmetry_Int_Tables_number 12
loop_
_symmetry_equiv_pos_as_xyz
'x,y,z'
'-x,-y,-z'
'-x,y,-z'
'x,-y,z'
'x+1/2,y+1/2,z'
'-x+1/2,-y+1/2,-z'
'-x+1/2,y+1/2,-z'
'x+1/2,-y+1/2,z'
loop_
_atom_site_label
_atom_site_fract_x
_atom_site_fract_y
_atom_site_fract_z
Y1 0.000 0.000 0.000
Tm1 0.000 0.226 0.000
Tm2 0.103 0.500 0.800
Tm3 0.205 0.115 0.606
Hg1 0.000 0.308 0.500
```

Record 4
Below is a geometry-optimized CaCeCuGe structure, with properties calculated at the PBE-GGA level.

Properties
Total energy in eV/atom: -4.542

Structure (CIF):
```
data_CaCeCuGe
_cell_length_a 7.189
_cell_length_b 7.189
_cell_length_c 7.189
_cell_angle_alpha 90.00
_cell_angle_beta 90.00
_cell_angle_gamma 90.00
_symmetry_space_group_name_H-M 'F -4 3 m'
_symmetry_Int_Tables_number 216
_symmetry_space_group_name_Hall 'F -4 2 3'
loop_
_atom_site_label
_atom_site_fract_x
_atom_site_fract_y
_atom_site_fract_z
Ca1 0.000 0.000 0.000
Ce1 0.000 0.000 0.500
Cu1 0.250 0.250 0.750
Ge1 0.250 0.250 0.250
```

Record 5
Below is a geometry-optimized Mg2PRh structure, with properties calculated at the PBE-GGA level.

Properties
Total energy in eV/atom: -4.485

Structure (CIF):
```
data_Mg2PRh
_cell_length_a 4.1928
_cell_length_b 4.1928
_cell_length_c 13.2144
_cell_angle_alpha 90.00
_cell_angle_beta 90.00
_cell_angle_gamma 120.00
_symmetry_space_group_name_H-M 'R 3 m'
_symmetry_Int_Tables_number 160
_symmetry_space_group_name_Hall 'R 3 -2"'
loop_
_atom_site_label
_atom_site_fract_x
_atom_site_fract_y
_atom_site_fract_z
Mg1 0.0000 0.0000 0.0000
Mg2 0.0000 0.0000 0.2148
P1 0.0000 0.0000 0.7830
Rh1 0.0000 0.0000 0.4287
```

Record 6
Below is a geometry-optimized Tb4GaPtSe2 structure, with properties calculated at the PBE-GGA level.

Properties
Formation energy from raw total energies in meV/atom: -1299
Total energy in eV/atom: -5.619

Structure (CIF):
```
data_Tb4GaPtSe2
_cell_length_a 6.990
_cell_length_b 4.010
_cell_length_c 7.549
_cell_angle_alpha 90.00
_cell_angle_beta 108.25
_cell_angle_gamma 90.00
_symmetry_space_group_name_H-M 'P 1 2/m 1'
_symmetry_Int_Tables_number 10
loop_
_symmetry_equiv_pos_as_xyz
'x,y,z'
'-x,-y,-z'
'-x,y,-z'
'x,-y,z'
loop_
_atom_site_label
_atom_site_fract_x
_atom_site_fract_y
_atom_site_fract_z
Tb1 0.241 0.000 0.238
Tb2 0.246 0.500 0.750
Ga1 0.500 0.000 0.000
Pt1 0.000 0.500 0.000
Se1 0.000 0.000 0.500
Se2 0.500 0.500 0.500
```

Record 7
Below is a geometry-optimized TcSbN2O structure, with properties calculated at the PBE-GGA level.

Properties
Formation energy from raw total energies in meV/atom: 1029
Total energy in eV/atom: -6.190

Structure (CIF):
```
data_TcSbN2O
_cell_length_a 4.069
_cell_length_b 4.069
_cell_length_c 3.892
_cell_angle_alpha 90.00
_cell_angle_beta 90.00
_cell_angle_gamma 90.00
_symmetry_space_group_name_H-M 'P 4/m m m'
_symmetry_Int_Tables_number 123
_symmetry_space_group_name_Hall '-P 4 2'
loop_
_atom_site_label
_atom_site_fract_x
_atom_site_fract_y
_atom_site_fract_z
Tc1 0.000 0.000 0.000
Sb1 0.500 0.500 0.500
N1 0.000 0.500 0.500
O1 0.500 0.500 0.000
```

Record 8
Below is a geometry-optimized Ac2PmGd structure, with properties calculated at the PBE-GGA level.

Properties
Total energy in eV/atom: -6.728

Structure (CIF):
```
data_Ac2PmGd
_cell_length_a 3.851
_cell_length_b 3.851
_cell_length_c 10.476
_cell_angle_alpha 90.00
_cell_angle_beta 90.00
_cell_angle_gamma 90.00
_symmetry_space_group_name_H-M 'P 4/m m m'
_symmetry_Int_Tables_number 123
_symmetry_space_group_name_Hall '-P 4 2'
loop_
_atom_site_label
_atom_site_fract_x
_atom_site_fract_y
_atom_site_fract_z
Ac1 0.000 0.000 0.249
Pm1 0.500 0.500 0.500
Gd1 0.500 0.500 0.000
```

Question: What is the total energy in the second record?
Answer: -5.749 eV/atom